1.
Computed, not measured: an optimized crystal structure of OsPd2Au at the GGA-PBE level of DFT.

Computed properties:
D(E_F): 5.1 states/eV/f.u.
energy above the most stable polymorph in this dataset: 0.000 eV per atom
final energy: -0.4199 Ry/atom
V: 63.77 Å³ per cell
formation energy from the elements: 0.5104 eV per atom

Cell: 4.4844 4.4844 4.4844 Å, 60.00 60.00 60.00°
Closest atoms and distances in Å follow each position.
Fractional positions:
1 Au 0.5000 0.5000 0.5000  8 Pd 2.75
2 Pd 0.2500 0.2500 0.2500  4 Os 2.75, 4 Au 2.75
3 Pd 0.7500 0.7500 0.7500  4 Os 2.75, 4 Au 2.75
4 Os 0.0000 0.0000 0.0000  8 Pd 2.75


2.
Computed, not measured: an optimized crystal structure of IrPb2W at the GGA-PBE level of DFT.

Computed properties:
D(E_F): 3.7 states/eV/f.u.
energy above the most stable polymorph in this dataset: 0.659 eV per atom
final energy: -0.4677 Ry/atom
V: 80.11 Å³ per cell
formation energy from the elements: 0.9437 eV per atom

Cell: 4.9101 4.9101 5.7144 Å, 78.16 78.16 36.55°
Closest atoms and distances in Å follow each position.
Fractional positions:
1 Ir 0.7500 0.7500 0.7500  6 Pb 2.86-3.01, 2 Ir 3.08
2 Pb 0.4953 0.4953 0.5028  3 Ir 2.86-3.01, 3 W 2.94-2.96, 2 Pb 3.08
3 Pb 0.0047 0.0047 0.9972  3 Ir 2.86-3.01, 3 W 2.94-2.96, 2 Pb 3.08
4 W 0.2500 0.2500 0.2500  6 Pb 2.94-2.96, 2 W 3.08, 4 Ir 3.25


3.
Computed, not measured: an optimized crystal structure of Y2BiRhC at the GGA-PBE level of DFT.

Computed properties:
D(E_F): 2.8 states/eV/f.u.
final energy: -0.5280 Ry/atom
V: 104.96 Å³ per cell
formation energy from the elements: -0.5073 eV per atom

Cell: 5.1153 5.1153 4.0114 Å, 90.00 90.00 90.00°
Closest atoms and distances in Å follow each position.
Fractional positions:
1 Y 0.5000 0.0000 0.0000  2 C 2.56
2 C 0.0000 0.0000 0.0000  2 Rh 2.01
3 Y 0.0000 0.5000 0.0000  2 C 2.56
4 Rh 0.0000 0.0000 0.5000  2 C 2.01
5 Bi 0.5000 0.5000 0.5000  8 Y 3.25, 4 Rh 3.62


4.
Computed, not measured: an optimized crystal structure of CsPuAg2S4 at the GGA-PBE level of DFT.

Computed properties:
D(E_F): 12.3 states/eV/f.u.
final energy: -0.3859 Ry/atom
V: 232.56 Å³ per cell

Cell: 6.6340 6.8218 6.8218 Å, 68.81 60.91 60.91°
Closest atoms and distances in Å follow each position.
Fractional positions:
1 S 0.1175 0.8628 0.4853  1 Ag 2.42, 1 Pu 2.56
2 S 0.4655 0.1372 0.5147  1 Ag 2.42, 1 Pu 2.56
3 Cs 0.0000 0.0000 0.0000  8 S 3.46-3.58
4 Ag 0.1673 0.3327 0.3327  2 S 2.42
5 S 0.8825 0.5147 0.1372  1 Ag 2.42, 1 Pu 2.56
6 S 0.5345 0.4853 0.8628  1 Ag 2.42, 1 Pu 2.56
7 Ag 0.8327 0.6673 0.6673  2 S 2.42
8 Pu 0.5000 0.5000 0.5000  4 S 2.56


5.
Computed, not measured: an optimized crystal structure of Ho6SbSe3S2 at the GGA-PBE level of DFT.

Computed properties:
D(E_F): 4.6 states/eV/f.u.
final energy: -0.4320 Ry/atom
V: 284.17 Å³ per cell

Cell: 4.0498 8.1542 9.0880 Å, 103.41 102.87 90.00°
Closest atoms and distances in Å follow each position.
Fractional positions:
1 Ho 0.3275 0.8903 0.6549  2 S 2.77, 3 Se 2.85-3.00, 1 Sb 2.97
2 Ho 0.6725 0.1097 0.3451  2 S 2.77, 3 Se 2.85-3.00, 1 Sb 2.97
3 Ho 0.9900 0.7341 0.9800  1 S 2.74, 3 Se 2.82-2.97, 2 Sb 2.94
4 Se 0.1625 0.8338 0.3250  6 Ho 2.85-3.00
5 Ho 0.3277 0.4281 0.6553  3 S 2.72-2.77, 3 Se 2.97-2.98
6 Se 0.5000 0.5000 0.0000  6 Ho 2.82-2.97
7 S 0.8306 0.6608 0.6612  6 Ho 2.72-2.77
8 Ho 0.6723 0.5719 0.3447  3 S 2.72-2.77, 3 Se 2.97-2.98
9 S 0.1694 0.3392 0.3388  6 Ho 2.72-2.77
10 Sb 0.5000 0.0000 0.0000  6 Ho 2.94-2.97
11 Ho 0.0100 0.2659 0.0200  1 S 2.74, 3 Se 2.82-2.97, 2 Sb 2.94
12 Se 0.8375 0.1662 0.6750  6 Ho 2.85-3.00


6.
Computed, not measured: an optimized crystal structure of CaTb3Sm3Se8 at the GGA-PBE level of DFT.

Computed properties:
D(E_F): 3.9 states/eV/f.u.
final energy: -0.4221 Ry/atom
V: 397.84 Å³ per cell

Cell: 8.2423 8.2429 8.2684 Å, 119.90 90.00 120.00°
Closest atoms and distances in Å follow each position.
Fractional positions:
1 Se 0.2523 0.5046 0.7477  2 Tb 2.89, 2 Sm 2.95, 1 Ca 2.95
2 Ca 0.0000 0.0000 0.5000  6 Se 2.94-2.95
3 Tb 0.5000 0.5000 0.5000  6 Se 2.89
4 Se 0.7479 0.0045 0.2521  2 Tb 2.89, 2 Sm 2.94-2.95, 1 Ca 2.94
5 Se 0.7435 0.9955 0.7479  2 Tb 2.89, 2 Sm 2.94-2.95, 1 Ca 2.94
6 Tb 0.0000 0.5000 0.5000  6 Se 2.89
7 Tb 0.5000 0.0000 0.5000  6 Se 2.89
8 Se 0.2521 0.9955 0.7479  2 Tb 2.89, 2 Sm 2.94-2.95, 1 Ca 2.94
9 Sm 0.0000 0.0000 0.0000  6 Se 2.94-2.95
10 Sm 0.0000 0.5000 0.0000  6 Se 2.95
11 Se 0.2565 0.0045 0.2521  2 Tb 2.89, 2 Sm 2.94-2.95, 1 Ca 2.94
12 Se 0.2522 0.5044 0.2567  3 Tb 2.89, 3 Sm 2.95
13 Se 0.7478 0.4956 0.7433  3 Tb 2.89, 3 Sm 2.95
14 Sm 0.5000 0.5000 0.0000  6 Se 2.95
15 Se 0.7477 0.4954 0.2523  2 Tb 2.89, 2 Sm 2.95, 1 Ca 2.95


7.
Computed, not measured: an optimized crystal structure of Pr4Te3Cl at the GGA-PBE level of DFT.

Computed properties:
D(E_F): 4.2 states/eV/f.u.
final energy: -0.3822 Ry/atom
V: 246.86 Å³ per cell

Cell: 4.4702 4.4702 14.4961 Å, 81.13 81.13 60.00°
Closest atoms and distances in Å follow each position.
Fractional positions:
1 Te 0.5000 0.5000 0.5000  6 Pr 3.17
2 Pr 0.8761 0.8761 0.3716  6 Te 3.17-3.23
3 Cl 0.0000 0.0000 0.0000  6 Pr 2.97
4 Te 0.2549 0.2549 0.2354  6 Pr 3.20-3.23
5 Te 0.7451 0.7451 0.7646  6 Pr 3.20-3.23
6 Pr 0.3677 0.3677 0.8970  3 Cl 2.97, 3 Te 3.20
7 Pr 0.6323 0.6323 0.1030  3 Cl 2.97, 3 Te 3.20
8 Pr 0.1239 0.1239 0.6284  6 Te 3.17-3.23


8.
Computed, not measured: an optimized crystal structure of LaMn4W at the GGA-PBE level of DFT.

Computed properties:
D(E_F): 6.7 states/eV/f.u.
final energy: -0.6365 Ry/atom
V: 90.60 Å³ per cell
formation energy from the elements: 0.4325 eV per atom

Cell: 5.0414 5.0414 5.0414 Å, 60.00 60.00 60.00°
Closest atoms and distances in Å follow each position.
Fractional positions:
1 Mn 0.3757 0.3757 0.3757  6 Mn 2.51-2.54
2 Mn 0.3757 0.8728 0.3757  6 Mn 2.51-2.54
3 W 0.7500 0.7500 0.7500  12 Mn 2.95, 4 La 3.09
4 Mn 0.3757 0.3757 0.8728  6 Mn 2.51-2.54
5 La 0.0000 0.0000 0.0000  12 Mn 2.96, 4 W 3.09
6 Mn 0.8728 0.3757 0.3757  6 Mn 2.51-2.54


9.
Computed, not measured: an optimized crystal structure of Mg3CrPb at the GGA-PBE level of DFT.

Computed properties:
D(E_F): 2.7 states/eV/f.u.
energy above the most stable polymorph in this dataset: 0.000 eV per atom
final energy: -0.2193 Ry/atom
V: 140.80 Å³ per cell
formation energy from the elements: 0.6389 eV per atom

Cell: 5.2023 5.2023 5.2023 Å, 90.00 90.00 90.00°
Closest atoms and distances in Å follow each position.
Fractional positions:
1 Mg 0.5000 0.0000 0.0000  2 Cr 2.60
2 Mg 0.0000 0.0000 0.5000  2 Cr 2.60
3 Mg 0.0000 0.5000 0.0000  2 Cr 2.60
4 Cr 0.0000 0.0000 0.0000  6 Mg 2.60
5 Pb 0.5000 0.5000 0.5000  12 Mg 3.68


10.
Computed, not measured: an optimized crystal structure of PmTc2HgO8 at the GGA-PBE level of DFT.

Computed properties:
D(E_F): 5.6 states/eV/f.u.
final energy: -0.5253 Ry/atom
V: 280.84 Å³ per cell

Cell: 6.3296 6.3296 8.0941 Å, 90.00 90.00 120.00°
Closest atoms and distances in Å follow each position.
Fractional positions:
1 Tc 0.3333 0.6667 0.7276  4 O 1.72-1.78
2 Tc 0.6667 0.3333 0.2724  4 O 1.72-1.78
3 O 0.8177 0.1799 0.3475  1 Tc 1.78
4 O 0.3622 0.1823 0.3475  1 Tc 1.78
5 Pm 0.0000 0.0000 0.5000  6 O 2.34
6 O 0.6667 0.3333 0.0603  1 Tc 1.72
7 O 0.3333 0.6667 0.9397  1 Tc 1.72
8 Hg 0.0000 0.0000 0.0000  12 O 3.44-3.69
9 O 0.1823 0.8201 0.6525  1 Tc 1.78
10 O 0.1799 0.3622 0.6525  1 Tc 1.78
11 O 0.8201 0.6378 0.3475  1 Tc 1.78
12 O 0.6378 0.8177 0.6525  1 Tc 1.78


11.
Computed, not measured: an optimized crystal structure of LiTaAs2 at the GGA-PBE level of DFT.

Computed properties:
D(E_F): 1.4 states/eV/f.u.
energy above the most stable polymorph in this dataset: 0.123 eV per atom
final energy: -0.4468 Ry/atom
V: 69.67 Å³ per cell
formation energy from the elements: -0.3133 eV per atom

Cell: 3.6558 3.6429 6.3810 Å, 55.06 90.00 90.00°
Closest atoms and distances in Å follow each position.
Fractional positions:
1 As 0.5000 0.1759 0.3240  1 Ta 2.41, 4 Li 2.66
2 Ta 0.5000 0.7148 0.7855  1 As 2.41
3 Li 0.0000 0.5506 0.4495  6 As 2.57-2.66
4 As 0.0000 0.0588 0.9410  2 Li 2.57-2.66, 4 Ta 2.71


12.
Computed, not measured: an optimized crystal structure of Ca3Ni9SbP2 at the GGA-PBE level of DFT.

Computed properties:
D(E_F): 10.9 states/eV/f.u.
final energy: -0.3800 Ry/atom
V: 254.73 Å³ per cell

Cell: 5.8534 5.8534 8.5850 Å, 90.00 90.00 120.00°
Closest atoms and distances in Å follow each position.
Fractional positions:
1 Ni 0.8535 0.7070 0.7315  1 P 2.10
2 Ni 0.1465 0.2930 0.2685  1 P 2.10
3 Ni 0.0000 0.5000 0.0000  2 P 2.19
4 Ni 0.1465 0.8535 0.2685  1 P 2.10
5 Ca 0.3333 0.6667 0.6614  6 Ni 2.99
6 Ni 0.2930 0.1465 0.7315  1 P 2.10
7 Ni 0.8535 0.1465 0.7315  1 P 2.10
8 P 0.3333 0.6667 0.1617  6 Ni 2.10-2.19
9 Ni 0.7070 0.8535 0.2685  1 P 2.10
10 Ni 0.5000 0.5000 0.0000  2 P 2.19
11 Sb 0.0000 0.0000 0.5000  6 Ni 2.48
12 Ca 0.0000 0.0000 0.0000  12 Ni 2.74-2.93
13 Ni 0.5000 0.0000 0.0000  2 P 2.19
14 Ca 0.6667 0.3333 0.3386  6 Ni 2.99
15 P 0.6667 0.3333 0.8383  6 Ni 2.10-2.19